CuBr: single point on PBEsol structure, SCAN.

Values from the calculation:
Formation energy (no corrections) = -0.263 eV/atom
Crystal system = tetragonal

Cell: 3.772 3.772 5.885 Å, 90.00 90.00 90.00°
Sites, in units of the cell vectors:
Br (0.500, 0.000, 0.727)
Br (0.000, 0.500, 0.273)
Cu (0.000, 0.000, 0.000)
Cu (0.500, 0.500, 0.000)

---

FeTe2WI: single point on PBEsol structure, SCAN.

Values from the calculation:
Formation energy (no corrections) = 1.166 eV/atom
Crystal system = tetragonal

Cell: 5.172 5.172 5.605 Å, 90.00 90.00 90.00°
Sites, in units of the cell vectors:
I (0.000, 0.000, 0.500)
Te (0.000, 0.500, 0.000)
Te (0.500, 0.000, 0.000)
Fe (0.500, 0.500, 0.500)
W (0.000, 0.000, 0.000)